The following is a DFT calculation (PBE-GGA) of a relaxed Ca2BHN2 crystal.

Structure (POSCAR):
```
Ca2BHN2
1.0
-2.763 1.044 -2.190
3.750 -4.695 -6.970
-5.200 -8.137 2.683
Ca B H N
8 4 4 8
direct
0.250 0.676 0.525
0.750 0.324 0.475
0.250 0.176 0.975
0.750 0.824 0.025
0.250 0.527 0.156
0.750 0.473 0.844
0.250 0.027 0.344
0.750 0.973 0.656
0.250 0.735 0.824
0.750 0.265 0.176
0.250 0.235 0.676
0.750 0.765 0.324
0.250 0.960 0.104
0.750 0.040 0.896
0.250 0.460 0.396
0.750 0.540 0.604
0.750 0.679 0.217
0.250 0.321 0.783
0.750 0.179 0.283
0.250 0.821 0.717
0.750 0.847 0.436
0.250 0.153 0.564
0.750 0.347 0.064
0.250 0.653 0.936
```

---

The following is a DFT calculation (PBE-GGA) of a relaxed CaB4H20N2 crystal.

Structure (POSCAR):
```
CaB4H20N2
1.0
7.859 0.000 -0.001
0.000 8.213 0.000
-3.659 0.000 6.955
Ca B H N
2 8 40 4
direct
0.196 0.000 0.196
0.696 0.500 0.696
0.985 0.554 0.568
0.568 0.446 0.985
0.485 0.946 0.068
0.068 0.054 0.485
0.934 0.227 0.917
0.917 0.773 0.934
0.434 0.273 0.417
0.417 0.727 0.434
0.425 0.589 0.117
0.117 0.411 0.425
0.925 0.911 0.617
0.617 0.089 0.925
0.057 0.594 0.333
0.333 0.406 0.057
0.557 0.906 0.833
0.833 0.094 0.557
0.277 0.547 0.888
0.888 0.453 0.277
0.777 0.953 0.388
0.388 0.047 0.777
0.651 0.568 0.973
0.973 0.432 0.651
0.151 0.932 0.473
0.473 0.068 0.151
0.839 0.637 0.509
0.509 0.363 0.839
0.339 0.863 0.009
0.009 0.137 0.339
0.623 0.863 0.173
0.173 0.137 0.623
0.123 0.637 0.673
0.673 0.363 0.123
0.971 0.631 0.957
0.957 0.369 0.971
0.471 0.869 0.457
0.457 0.131 0.471
0.030 0.852 0.900
0.900 0.148 0.030
0.530 0.648 0.400
0.400 0.352 0.530
0.756 0.787 0.795
0.795 0.213 0.756
0.256 0.713 0.295
0.295 0.287 0.256
0.411 0.678 0.579
0.579 0.322 0.411
0.911 0.822 0.079
0.079 0.178 0.911
0.388 0.501 0.013
0.013 0.499 0.388
0.888 0.999 0.513
0.513 0.001 0.888
```

---

no.,electronic total energy (eV/atom)
1,-6.164
2,-4.505